Record 1
A plane-wave DFT calculation with PBE was carried out for a relaxed Ba2HPtPb crystal.

Cell: 6.0317 6.0317 3.8033 Å, 90.00 90.00 90.00°
Positions (direct):
Pb 0.5000 0.5000 0.5000
Ba 0.0000 0.5000 0.0000
Ba 0.5000 0.0000 0.0000
Pt 0.0000 0.0000 0.5000
H 0.0000 0.0000 0.0000

Output
E in Ha/atom: -0.143
Symmetry: P4/mmm (123)
V in A^3/atom: 27.67

---

Record 2
A plane-wave DFT calculation with PBE was carried out for a relaxed Rb2BaHPb crystal.

Cell: 5.5785 5.5785 5.9923 Å, 90.00 90.00 90.00°
Positions (direct):
Pb 0.5000 0.5000 0.5000
H 0.0000 0.0000 0.0000
Rb 0.5000 0.0000 0.0000
Rb 0.0000 0.5000 0.0000
Ba 0.0000 0.0000 0.5000

Output
E in Ha/atom: -0.087
Symmetry: P4/mmm (123)
V in A^3/atom: 37.30

---

Record 3
A plane-wave DFT calculation with PBE was carried out for a relaxed BaH8RhPb2 crystal.

Cell: 5.2349 5.2349 7.3289 Å, 90.00 90.00 120.00°
Positions (direct):
H 0.2886 0.1443 0.8491
H 0.1443 0.2886 0.1509
H 0.1443 0.8557 0.1509
H 0.3333 0.6667 0.5611
H 0.7114 0.8557 0.1509
H 0.6667 0.3333 0.4389
H 0.8557 0.1443 0.8491
H 0.8557 0.7114 0.8491
Rh 0.0000 0.0000 0.0000
Pb 0.3333 0.6667 0.8610
Pb 0.6667 0.3333 0.1390
Ba 0.0000 0.0000 0.5000

Output
E in Ha/atom: -0.133
Symmetry: P-3m1 (164)
V in A^3/atom: 14.49

---

Record 4
A plane-wave DFT calculation with PBE was carried out for a relaxed Ba2H12Rh3Pb crystal.

Cell: 6.6481 6.6481 6.6481 Å, 59.47 59.47 59.47°
Positions (direct):
H 0.7027 0.1114 0.7027
H 0.5629 0.1218 0.1218
H 0.1114 0.7027 0.7027
H 0.1218 0.5629 0.1218
H 0.7027 0.7027 0.1114
H 0.2973 0.8886 0.2973
H 0.1218 0.1218 0.5629
H 0.8886 0.2973 0.2973
H 0.2973 0.2973 0.8886
H 0.4371 0.8782 0.8782
H 0.8782 0.4371 0.8782
H 0.8782 0.8782 0.4371
Rh 0.0000 0.5000 0.0000
Rh 0.5000 0.0000 0.0000
Rh 0.0000 0.0000 0.5000
Ba 0.6091 0.6091 0.6091
Ba 0.3909 0.3909 0.3909
Pb 0.0000 0.0000 0.0000

Output
E in Ha/atom: -0.152
Symmetry: R-3m (166)
V in A^3/atom: 11.40

---

Record 5
A plane-wave DFT calculation with PBE was carried out for a relaxed Ba2HRhPb crystal.

Cell: 6.0167 6.0167 3.7324 Å, 90.00 90.00 90.00°
Positions (direct):
H 0.0000 0.0000 0.0000
Rh 0.0000 0.0000 0.5000
Ba 0.0000 0.5000 0.0000
Ba 0.5000 0.0000 0.0000
Pb 0.5000 0.5000 0.5000

Output
E in Ha/atom: -0.144
Energy above the most stable polymorph in this dataset in meV per atom: 135
Symmetry: P4/mmm (123)
V in A^3/atom: 27.02

---

Record 6
A plane-wave DFT calculation with PBE was carried out for a relaxed Ba2HRhPb crystal.

Cell: 4.2057 7.3809 10.1087 Å, 109.06 90.00 90.00°
Positions (direct):
H 0.7500 0.1444 0.1451
H 0.2500 0.8556 0.8549
Rh 0.7500 0.3881 0.2215
Rh 0.2500 0.6119 0.7785
Ba 0.7500 0.7766 0.6057
Ba 0.2500 0.2431 0.9682
Ba 0.7500 0.7569 0.0318
Ba 0.2500 0.2234 0.3943
Pb 0.7500 0.3380 0.7053
Pb 0.2500 0.6620 0.2947

Output
E in Ha/atom: -0.149
Energy above the most stable polymorph in this dataset in meV per atom: 0
Symmetry: P2_1/m (11)
V in A^3/atom: 29.66

---

Record 7
A plane-wave DFT calculation with PBE was carried out for a relaxed BaSbHPb crystal.

Cell: 4.5435 4.5435 14.8225 Å, 90.00 90.00 120.00°
Positions (direct):
Pb 0.0000 0.0000 0.6642
Pb 0.0000 0.0000 0.1642
Ba 0.3333 0.6667 0.9271
Ba 0.6667 0.3333 0.4271
H 0.0000 0.0000 0.4539
H 0.0000 0.0000 0.9539
Sb 0.3333 0.6667 0.2672
Sb 0.6667 0.3333 0.7672

Output
E in Ha/atom: -0.134
Symmetry: P6_3mc (186)
V in A^3/atom: 33.12

---

Record 8
A plane-wave DFT calculation with PBE was carried out for a relaxed BaSb2HPb crystal.

Cell: 6.3668 6.6638 6.3668 Å, 90.00 90.00 90.00°
Positions (direct):
Sb 0.5000 0.0000 0.0000
Sb 0.0000 0.0000 0.5000
Ba 0.0000 0.0000 0.0000
H 0.5000 0.5000 0.5000
Pb 0.0000 0.5000 0.0000

Output
E in Ha/atom: -0.082
Symmetry: P4/mmm (123)
V in A^3/atom: 54.02